Material: Pm2Sm2DyHo4
Method: DFT, PBE
State: optimized geometry

Cell: 18.7276 3.6086 9.5956 Å, 90.00 115.74 90.00°
Space group C2/m (No. 12)
Inequivalent atoms, fractional coordinates:
Pm  0.1655  0.0000  0.0011 x4
Sm  0.1472  0.5000  0.6633 x4
Dy  0.0000  0.5000  0.0000 x2
Ho  0.0193  0.0000  0.3324 x4
Ho  0.1849  0.5000  0.3353 x4

For the energy of formation, the calculation gives 0.1 kJ/mol of atoms. For the calculated total energy, the calculation gives -4.649 eV/atom. Its density of states at the Fermi level is 24.0 states/eV per cell.